# Cs3Ag2HgBr9 (GGA-PBE, relaxed)
# * density of states at the Fermi level: 0.23 states/eV/atom
# * ΔE_f (raw): -13.9 eV/f.u.
data_Cs3Ag2HgBr9
_symmetry_space_group_name_H-M 'P -3 m 1'
_symmetry_Int_Tables_number 164
_symmetry_space_group_name_Hall '-P 3 2"'
_cell_length_a 7.8418
_cell_length_b 7.8418
_cell_length_c 9.6093
_cell_angle_alpha 90.00
_cell_angle_beta 90.00
_cell_angle_gamma 120.00
loop_
_atom_site_label
_atom_site_type_symbol
_atom_site_fract_x
_atom_site_fract_y
_atom_site_fract_z
_atom_site_occupancy
Cs1 Cs 0.0000 0.0000 0.0000 1
Cs2 Cs 0.3333 0.6667 0.6675 1
Ag1 Ag 0.3333 0.6667 0.1608 1
Hg1 Hg 0.0000 0.0000 0.5000 1
Br1 Br 0.0000 0.5000 0.0000 1
Br2 Br 0.1687 0.3373 0.3292 1



# BCl (GGA-PBE, relaxed)
# * density of states at the Fermi level: 0.00 states/eV/atom
# * energy above the most stable polymorph in this dataset: 1.7067 eV per atom
# * ΔE_f (raw): 2.1 eV/f.u.
data_BCl
_symmetry_space_group_name_H-M 'P 1'
_symmetry_Int_Tables_number 1
_cell_length_a 4.138
_cell_length_b 4.209
_cell_length_c 5.314
_cell_angle_alpha 92.68
_cell_angle_beta 111.62
_cell_angle_gamma 118.02
loop_
_symmetry_equiv_pos_as_xyz
'x,y,z'
loop_
_atom_site_label
_atom_site_type_symbol
_atom_site_fract_x
_atom_site_fract_y
_atom_site_fract_z
_atom_site_occupancy
B1 B 0.000 0.000 0.000 1
Cl1 Cl 0.764 0.845 0.642 1



Q: Number 1 is which compound?
A: Cs3Ag2HgBr9



Q: Number 1 is which compound?
A: Cs3Ag2HgBr9



Repeat the second record exactly.
# BCl (GGA-PBE, relaxed)
# * density of states at the Fermi level: 0.00 states/eV/atom
# * energy above the most stable polymorph in this dataset: 1.7067 eV per atom
# * ΔE_f (raw): 2.1 eV/f.u.
data_BCl
_symmetry_space_group_name_H-M 'P 1'
_symmetry_Int_Tables_number 1
_cell_length_a 4.138
_cell_length_b 4.209
_cell_length_c 5.314
_cell_angle_alpha 92.68
_cell_angle_beta 111.62
_cell_angle_gamma 118.02
loop_
_symmetry_equiv_pos_as_xyz
'x,y,z'
loop_
_atom_site_label
_atom_site_type_symbol
_atom_site_fract_x
_atom_site_fract_y
_atom_site_fract_z
_atom_site_occupancy
B1 B 0.000 0.000 0.000 1
Cl1 Cl 0.764 0.845 0.642 1